[1]
# SrSb2W2 PBEsol relaxed
# raw formation energy	0.020	eV per atom
# E	-7.69	eV/atom
# calculated volume	23.83	A^3/atom
data_SrSb2W2
_symmetry_space_group_name_H-M 'I 4/m m m'
_symmetry_Int_Tables_number 139
_symmetry_space_group_name_Hall '-I 4 2'
_cell_length_a 3.8733
_cell_length_b 3.8733
_cell_length_c 15.8869
_cell_angle_alpha 90.00
_cell_angle_beta 90.00
_cell_angle_gamma 90.00
loop_
_atom_site_label
_atom_site_type_symbol
_atom_site_fract_x
_atom_site_fract_y
_atom_site_fract_z
Sr1 Sr 0.0000 0.0000 0.0000
Sb1 Sb 0.0000 0.0000 0.3760
W1 W 0.0000 0.5000 0.2500

***

[2]
# Si2NiHg PBEsol relaxed
# raw formation energy	0.377	eV per atom
# E	-4.18	eV/atom
# calculated volume	15.29	A^3/atom
data_Si2NiHg
_symmetry_space_group_name_H-M 'C m m m'
_symmetry_Int_Tables_number 65
_symmetry_space_group_name_Hall '-C 2 2'
_cell_length_a 5.1769
_cell_length_b 6.3732
_cell_length_c 3.7082
_cell_angle_alpha 90.00
_cell_angle_beta 90.00
_cell_angle_gamma 90.00
loop_
_atom_site_label
_atom_site_type_symbol
_atom_site_fract_x
_atom_site_fract_y
_atom_site_fract_z
Si1 Si 0.2500 0.2500 0.0000
Ni1 Ni 0.0000 0.0000 0.5000
Hg1 Hg 0.0000 0.5000 0.5000

***

[3]
# Cd3Rh PBEsol relaxed
# energy of formation	-0.41	eV per formula unit
# E	-3.03	eV/atom
# calculated volume	17.55	A^3/atom
data_Cd3Rh
_symmetry_space_group_name_H-M 'P m m n'
_symmetry_Int_Tables_number 59
_cell_length_a 4.6739
_cell_length_b 5.7787
_cell_length_c 5.1976
_cell_angle_alpha 90.00
_cell_angle_beta 90.00
_cell_angle_gamma 90.00
loop_
_symmetry_equiv_pos_as_xyz
'x,y,z'
'-x,-y,-z'
'-x+1/2,-y+1/2,z'
'x+1/2,y+1/2,-z'
'x+1/2,-y,-z'
'-x+1/2,y,z'
'-x,y+1/2,-z'
'x,-y+1/2,z'
loop_
_atom_site_label
_atom_site_type_symbol
_atom_site_fract_x
_atom_site_fract_y
_atom_site_fract_z
Cd1 Cd 0.2500 0.0024 0.1644
Cd2 Cd 0.2500 0.7500 0.6394
Rh1 Rh 0.2500 0.2500 0.6720

***

Question: Which of these has the lowest E?
Answer: SrSb2W2

***

Question: What is the formula in the second record?
Answer: Si2NiHg

***

Question: Which formula does entry 1 have?
Answer: SrSb2W2